1.
An optimized crystal structure of Sc3TlAu. Source: Alexandria via LeMat-Bulk, functional GGA-PBE.

Properties
- Crystal system: cubic
- Density: 5.95 g/cm³
- DOS(E_F): 1.684 states/eV/atom
- Symmetry: Pm-3m
- Volume: 29.94 Å³ per atom
- ΔE_f: 254 kJ/mol of formula units
- Distance to the lowest polymorph of the same formula: 0.563 eV per atom
- E_tot: -22.01 eV per formula unit

Cell lengths 5.310, 5.310, 5.310 Å; angles 90.00, 90.00, 90.00 degrees
Positions (direct):
Sc1 0.000 0.000 0.500
Sc2 0.000 0.500 0.000
Sc3 0.500 0.000 0.000
Tl1 0.000 0.000 0.000
Au1 0.500 0.500 0.500

=====

2.
An optimized crystal structure of NaWN2. Source: Alexandria via LeMat-Bulk, functional GGA-PBE.

Properties
- Crystal system: trigonal
- Formation energy (no corrections): -0.35 eV/f.u.
- Density: 7.23 g/cm³
- DOS(E_F): 0.652 states/eV/atom
- Symmetry: R-3m
- Volume: 13.48 Å³ per atom
- Distance to the lowest polymorph of the same formula: 0.299 eV per atom
- E_tot: -31.28 eV per formula unit

Cell lengths 3.039, 3.039, 20.233 Å; angles 90.00, 90.00, 120.00 degrees
Positions (direct):
Na1 0.000 0.000 0.000
Na2 0.333 0.667 0.667
Na3 0.667 0.333 0.333
W1 0.000 0.000 0.500
W2 0.333 0.667 0.167
W3 0.667 0.333 0.833
N1 0.000 0.000 0.111
N2 0.000 0.000 0.889
N3 0.333 0.667 0.556
N4 0.333 0.667 0.777
N5 0.667 0.333 0.223
N6 0.667 0.333 0.444

=====

Q: Number 2 is which compound?
A: NaWN2

=====

Copy entry 1 word for word.
An optimized crystal structure of Sc3TlAu. Source: Alexandria via LeMat-Bulk, functional GGA-PBE.

Properties
- Crystal system: cubic
- Density: 5.95 g/cm³
- DOS(E_F): 1.684 states/eV/atom
- Symmetry: Pm-3m
- Volume: 29.94 Å³ per atom
- ΔE_f: 254 kJ/mol of formula units
- Distance to the lowest polymorph of the same formula: 0.563 eV per atom
- E_tot: -22.01 eV per formula unit

Cell lengths 5.310, 5.310, 5.310 Å; angles 90.00, 90.00, 90.00 degrees
Positions (direct):
Sc1 0.000 0.000 0.500
Sc2 0.000 0.500 0.000
Sc3 0.500 0.000 0.000
Tl1 0.000 0.000 0.000
Au1 0.500 0.500 0.500

=====

Copy entry 1 word for word.
An optimized crystal structure of Sc3TlAu. Source: Alexandria via LeMat-Bulk, functional GGA-PBE.

Properties
- Crystal system: cubic
- Density: 5.95 g/cm³
- DOS(E_F): 1.684 states/eV/atom
- Symmetry: Pm-3m
- Volume: 29.94 Å³ per atom
- ΔE_f: 254 kJ/mol of formula units
- Distance to the lowest polymorph of the same formula: 0.563 eV per atom
- E_tot: -22.01 eV per formula unit

Cell lengths 5.310, 5.310, 5.310 Å; angles 90.00, 90.00, 90.00 degrees
Positions (direct):
Sc1 0.000 0.000 0.500
Sc2 0.000 0.500 0.000
Sc3 0.500 0.000 0.000
Tl1 0.000 0.000 0.000
Au1 0.500 0.500 0.500